This record from OQMD via LeMat-Bulk describes a relaxed ScCuSe2 crystal. The functional is PBE.

The structure in POSCAR format:
```
ScCuSe2
1.0
6.714 0.000 0.000
0.000 3.906 0.000
-0.148 0.000 12.929
Sc Cu Se
4 4 8
Cartesian
0.000 3.905 0.000
-0.074 0.000 6.464
3.357 1.968 0.000
3.283 1.984 6.464
1.008 1.979 2.416
2.267 3.899 4.053
4.299 3.899 8.876
5.558 1.979 10.513
0.984 1.956 4.874
1.048 1.953 11.418
2.090 0.031 7.976
2.295 0.017 1.593
4.272 0.017 11.336
4.476 0.031 4.953
5.518 1.953 1.511
5.582 1.956 8.055
```

Calculated values
VASP energy = -85.46 eV for the cell shown


This record from OQMD via LeMat-Bulk describes a relaxed ScCuSe2 crystal. The functional is PBE.

The structure in POSCAR format:
```
ScCuSe2
1.0
6.422 0.000 0.000
0.000 7.041 0.000
-0.657 0.000 6.854
Sc Cu Se
4 4 8
Cartesian
1.089 0.254 2.046
0.760 3.267 5.473
5.005 3.774 1.381
4.676 6.788 4.808
2.353 4.637 3.141
2.024 5.925 6.568
3.741 1.117 0.286
3.412 2.404 3.713
0.017 5.121 3.386
-0.312 5.441 6.813
2.102 0.787 4.894
2.431 2.733 1.467
3.334 4.308 5.387
3.662 6.254 1.960
6.077 1.601 0.041
5.748 1.920 3.468
```

Calculated values
VASP energy = -84.59 eV for the cell shown


This record from OQMD via LeMat-Bulk describes a relaxed Sc2CuSe4 crystal. The functional is PBE.

The structure in POSCAR format:
```
Sc2CuSe4
1.0
0.000 5.464 5.464
5.464 0.000 5.464
5.464 5.464 0.000
Sc Cu Se
4 2 8
Cartesian
0.000 0.000 0.000
2.732 2.732 0.000
2.732 0.000 2.732
0.000 2.732 2.732
4.098 4.098 4.098
6.830 6.830 6.830
8.226 5.433 5.433
2.701 2.701 2.701
5.494 5.494 2.701
5.494 2.701 5.494
5.433 8.226 5.433
5.433 5.433 8.226
8.226 8.226 8.226
2.701 5.494 5.494
```

Calculated values
VASP energy = -77.77 eV for the cell shown


This record from OQMD via LeMat-Bulk describes a relaxed ScCuSe2 crystal. The functional is PBE.

The structure in POSCAR format:
```
ScCuSe2
1.0
0.000 3.327 3.327
3.327 0.000 3.327
3.327 3.327 0.000
Sc Cu Se
1 1 2
Cartesian
0.000 0.000 0.000
3.327 3.327 3.327
1.664 1.664 1.664
4.991 4.991 4.991
```

Calculated values
VASP energy = -19.65 eV for the cell shown